A plane-wave DFT calculation with GGA-PBE was carried out for a geometry-optimized Pr3GdDy2Te2Pt structure.

Cell lengths 4.084, 8.543, 8.543 Å; angles 120.02, 90.00, 90.00 degrees
Element x y z (fractional)
Dy: 0.000 0.000 0.240
Dy: 0.000 0.240 0.000
Pr: 0.500 0.406 0.406
Pr: 0.500 0.000 0.593
Pr: 0.500 0.593 0.000
Te: 0.000 0.667 0.333
Te: 0.000 0.333 0.667
Gd: 0.000 0.758 0.758
Pt: 0.500 0.003 0.003

The symmetry is No. 38.



A plane-wave DFT calculation with GGA-PBE was carried out for a geometry-optimized Y2Ag2Ge structure.

Cell lengths 7.712, 7.712, 7.712 Å; angles 150.35, 150.35, 42.43 degrees
Element x y z (fractional)
Y: 0.598 0.598 0.000
Y: 0.402 0.402 0.000
Ag: 0.750 0.250 0.500
Ag: 0.250 0.750 0.500
Ge: 0.000 0.000 0.000

The symmetry is No. 139.



A plane-wave DFT calculation with GGA-PBE was carried out for a geometry-optimized ScAlFeNi structure.

Cell lengths 4.236, 4.236, 4.236 Å; angles 60.00, 60.00, 60.00 degrees
Element x y z (fractional)
Sc: 0.500 0.500 0.500
Al: 0.000 0.000 0.000
Fe: 0.250 0.250 0.250
Ni: 0.750 0.750 0.750

The symmetry is No. 216. The polymorph energy (0 for the lowest one) comes out at 0 meV/atom.



A plane-wave DFT calculation with GGA-PBE was carried out for a geometry-optimized NaHgPd structure.

Cell lengths 4.629, 4.629, 4.629 Å; angles 60.00, 60.00, 60.00 degrees
Element x y z (fractional)
Pd: 0.000 0.000 0.000
Na: 0.750 0.750 0.750
Hg: 0.250 0.250 0.250

The symmetry is No. 216. The polymorph energy (0 for the lowest one) comes out at 0 meV/atom.



A plane-wave DFT calculation with GGA-PBE was carried out for a geometry-optimized DySnGe structure.

Cell lengths 6.974, 4.301, 9.798 Å; angles 90.00, 90.00, 90.00 degrees
Element x y z (fractional)
Ge: 0.203 0.750 0.386
Ge: 0.797 0.250 0.614
Ge: 0.703 0.750 0.114
Ge: 0.297 0.250 0.886
Sn: 0.802 0.750 0.398
Sn: 0.198 0.250 0.602
Sn: 0.698 0.250 0.898
Sn: 0.302 0.750 0.102
Dy: 0.488 0.250 0.326
Dy: 0.512 0.750 0.674
Dy: 0.012 0.750 0.826
Dy: 0.988 0.250 0.174

The symmetry is No. 62.



A plane-wave DFT calculation with GGA-PBE was carried out for a geometry-optimized LuCoReSi structure.

Cell lengths 4.476, 4.476, 4.476 Å; angles 60.00, 60.00, 60.00 degrees
Site moments in Bohr magnetons follow the coordinates.
Element x y z (fractional)
Re: 0.500 0.500 0.500  1.10
Co: 0.750 0.750 0.750  1.84
Lu: 0.250 0.250 0.250  0.30
Si: 0.000 0.000 0.000  0.02

The symmetry is No. 216. The polymorph energy (0 for the lowest one) comes out at 401 meV/atom.



A plane-wave DFT calculation with GGA-PBE was carried out for a geometry-optimized ScCuS2 structure.

Cell lengths 6.674, 6.674, 6.674 Å; angles 32.05, 32.05, 32.05 degrees
Element x y z (fractional)
Cu: 0.142 0.142 0.142
S: 0.260 0.260 0.260
S: 0.752 0.752 0.752
Sc: 0.999 0.999 0.999

The symmetry is No. 160.



A plane-wave DFT calculation with GGA-PBE was carried out for a geometry-optimized Tm5Al2Pb structure.

Cell lengths 8.799, 8.799, 8.799 Å; angles 126.82, 126.82, 78.55 degrees
Element x y z (fractional)
Tm: 0.693 0.515 0.500
Tm: 0.000 0.000 0.000
Tm: 0.485 0.985 0.178
Tm: 0.807 0.307 0.822
Tm: 0.015 0.193 0.500
Tm: 0.985 0.807 0.500
Tm: 0.515 0.015 0.822
Tm: 0.307 0.485 0.500
Tm: 0.500 0.500 0.000
Tm: 0.193 0.693 0.178
Pb: 0.250 0.250 0.000
Pb: 0.750 0.750 0.000
Al: 0.372 0.128 0.500
Al: 0.628 0.872 0.500
Al: 0.872 0.372 0.243
Al: 0.128 0.628 0.757

The symmetry is No. 140.



A plane-wave DFT calculation with GGA-PBE was carried out for a geometry-optimized TbPrAs2Pt2 structure.

Cell lengths 4.333, 4.333, 15.573 Å; angles 90.00, 90.00, 120.00 degrees
Element x y z (fractional)
As: 0.667 0.333 0.621
As: 0.333 0.667 0.379
As: 0.667 0.333 0.879
As: 0.333 0.667 0.121
Pt: 0.667 0.333 0.359
Pt: 0.333 0.667 0.859
Pt: 0.333 0.667 0.641
Pt: 0.667 0.333 0.141
Tb: 0.000 0.000 0.250
Tb: 0.000 0.000 0.750
Pr: 0.000 0.000 0.500
Pr: 0.000 0.000 0.000

The symmetry is No. 194. The polymorph energy (0 for the lowest one) comes out at 0 meV/atom.



A plane-wave DFT calculation with GGA-PBE was carried out for a geometry-optimized Hf2Sb2OsPt structure.

Cell lengths 6.351, 6.351, 7.766 Å; angles 65.87, 65.87, 90.00 degrees
Element x y z (fractional)
Hf: 0.125 0.124 0.250
Hf: 0.876 0.375 0.750
Hf: 0.625 0.626 0.250
Hf: 0.374 0.875 0.750
Sb: 0.625 0.115 0.250
Sb: 0.365 0.375 0.750
Sb: 0.125 0.635 0.250
Sb: 0.885 0.875 0.750
Os: 0.250 0.750 0.500
Os: 0.000 0.000 0.000
Pt: 0.750 0.250 0.500
Pt: 0.500 0.500 0.000

The symmetry is No. 122.



A plane-wave DFT calculation with GGA-PBE was carried out for a geometry-optimized CsNdHf structure.

Cell lengths 5.299, 5.299, 5.299 Å; angles 60.00, 60.00, 60.00 degrees
Element x y z (fractional)
Nd: 0.250 0.250 0.250
Cs: 0.000 0.000 0.000
Hf: 0.750 0.750 0.750

The symmetry is No. 216. The polymorph energy (0 for the lowest one) comes out at 114 meV/atom.



A plane-wave DFT calculation with GGA-PBE was carried out for a geometry-optimized PmCuSi structure.

Cell lengths 4.195, 4.195, 7.797 Å; angles 90.00, 90.00, 119.99 degrees
Element x y z (fractional)
Pm: 0.000 0.000 0.000
Pm: 0.000 0.000 0.500
Cu: 0.667 0.333 0.250
Cu: 0.333 0.667 0.750
Si: 0.667 0.333 0.750
Si: 0.333 0.667 0.250

The symmetry is No. 194. The polymorph energy (0 for the lowest one) comes out at 0 meV/atom.



The records above yield total energy values of -5.461; -4.734; -6.404; -2.372; -4.862; -6.979; -5.837; -4.567; -6.390; -8.327; -3.499; -5.264 eV/atom, respectively.